## TiReB2 (GGA-PBE)

Data for crystalline TiReB2 at its relaxed geometry.

Cell: 5.983 5.983 5.983 Å, 132.20 132.20 69.91°
Positions (direct):
Ti 0.000 0.000 0.000
Ti 0.750 0.250 0.500
Re 0.250 0.750 0.500
Re 0.500 0.500 0.000
B 0.156 0.625 0.031
B 0.375 0.406 0.531
B 0.594 0.125 0.969
B 0.875 0.844 0.469

Properties
Space group: No. 122
E in eV per atom: -7.86

***

## FeAuS2N (GGA-PBE)

Data for crystalline FeAuS2N at its relaxed geometry.

Cell: 5.019 5.019 3.747 Å, 90.00 90.00 90.00°
Positions (direct):
Fe 0.000 0.000 0.000
Au 0.500 0.500 0.500
S 0.000 0.500 0.500
S 0.500 0.000 0.500
N 0.500 0.500 0.000

Properties
Space group: No. 123
Formation energy without anion corrections in eV per atom: 1.4052

***

## Cs2AcAlO4 (GGA-PBE)

Data for crystalline Cs2AcAlO4 at its relaxed geometry.

Cell: 14.522 13.356 7.121 Å, 84.51 66.28 29.21°
Positions (direct):
Cs 0.067 0.067 0.683
Cs 0.317 0.317 0.933
Cs 0.683 0.683 0.067
Cs 0.933 0.933 0.317
Ac 0.125 0.125 0.125
Ac 0.875 0.875 0.875
Al 0.375 0.375 0.375
Al 0.625 0.625 0.625
O 0.067 0.615 0.513
O 0.305 0.513 0.615
O 0.385 0.933 0.695
O 0.487 0.695 0.933
O 0.513 0.305 0.067
O 0.615 0.067 0.305
O 0.695 0.487 0.385
O 0.933 0.385 0.487

Properties
Space group: No. 70
Formation energy without anion corrections in eV per atom: -2.1219

***

## PaSiBr (GGA-PBE)

Data for crystalline PaSiBr at its relaxed geometry.

Cell: 4.051 4.051 11.549 Å, 100.19 100.19 60.00°
Positions (direct):
Pa 0.053 0.053 0.158
Pa 0.947 0.947 0.842
Si 0.334 0.334 0.002
Si 0.666 0.666 0.998
Br 0.221 0.221 0.666
Br 0.779 0.779 0.334

Properties
Space group: No. 12
Formation energy without anion corrections in eV per atom: -0.8989